No. 1
NaCe2Tl8 PBE-GGA optimized geometry; energy of formation from the pure elements = -131.7 meV/atom; total energy = -33.57 eV per cell
1.0
4.944 0.000 0.000
0.000 4.944 0.000
0.000 0.000 13.113
Ce Tl Na
2 8 1
direct
0.000 0.000 0.323 Ce
0.000 0.000 0.677 Ce
0.500 0.500 0.681 Tl
0.000 0.500 0.144 Tl
0.500 0.000 0.500 Tl
0.500 0.500 0.319 Tl
0.500 0.000 0.144 Tl
0.000 0.500 0.500 Tl
0.000 0.500 0.856 Tl
0.500 0.000 0.856 Tl
0.000 0.000 0.000 Na

---

No. 2
La2AlOsO PBE-GGA optimized geometry; E_form (uncorrected) = -362 meV per atom; total energy = -31.59 eV per cell
1.0
5.848 0.000 0.000
0.000 3.751 0.000
0.000 0.000 5.848
Al La Os O
1 2 1 1
direct
0.500 0.500 0.500 Al
0.500 0.000 0.000 La
0.000 0.000 0.500 La
0.000 0.000 0.000 Os
0.000 0.500 0.000 O

---

No. 3
NaCr2Br PBE-GGA optimized geometry; E_form (uncorrected) = 852 meV per atom; total energy = -37.66 eV per cell; energy above the lowest structure with this stoichiometry = 0.00 kcal/mol of atoms
1.0
-0.078 3.605 -0.099
-2.935 -0.120 -2.094
-8.160 1.854 8.223
Br Na Cr
2 2 4
direct
0.750 0.250 0.500 Br
0.000 0.000 0.000 Br
0.250 0.750 0.500 Na
0.500 0.500 0.000 Na
0.875 0.306 0.750 Cr
0.056 0.125 0.250 Cr
0.694 0.625 0.250 Cr
0.375 0.944 0.750 Cr

---

No. 4
In2Cu2Sb PBE-GGA optimized geometry; E_form (uncorrected) = 221 meV per atom; total energy = -16.69 eV per cell; energy above the lowest structure with this stoichiometry = 2.47 kcal/mol of atoms
1.0
4.089 0.000 0.000
0.000 4.089 0.000
2.044 2.044 5.981
Cu Sb In
2 1 2
direct
0.402 0.402 0.197 Cu
0.598 0.598 0.803 Cu
0.000 0.000 0.000 Sb
0.250 0.750 0.500 In
0.750 0.250 0.500 In

---

No. 5
K2ZnFeCo PBE-GGA optimized geometry; energy of formation from the pure elements = 1217.9 meV/atom; total energy = -12.95 eV per cell
1.0
-5.294 -0.598 3.245
0.397 -4.611 -0.203
3.256 0.046 5.321
K Co Zn Fe
2 1 1 1
direct
0.500 0.000 0.000 K
0.000 0.000 0.500 K
0.000 0.500 0.000 Co
0.000 0.000 0.000 Zn
0.500 0.500 0.500 Fe

---

No. 6
ErPaFe PBE-GGA optimized geometry; energy of formation from the pure elements = 74.3 meV/atom; total energy = -22.30 eV per cell; energy above the lowest structure with this stoichiometry = 4.87 kcal/mol of atoms
1.0
-3.695 -0.438 -3.327
2.699 -0.873 -2.883
-1.634 -2.970 2.206
Er Pa Fe
1 1 1
direct
0.667 0.667 0.333 Er
0.167 0.333 0.667 Pa
0.167 0.000 0.000 Fe

---

No. 7
ScSi2Rh PBE-GGA optimized geometry; E_form (uncorrected) = -571 meV per atom; total energy = -26.81 eV per cell
1.0
3.189 0.000 0.000
0.000 3.189 0.000
0.000 0.000 6.075
Si Rh Sc
2 1 1
direct
0.000 0.000 0.033 Si
0.500 0.500 0.260 Si
0.000 0.000 0.441 Rh
0.500 0.500 0.766 Sc

---

No. 8
Dy4FeTe PBE-GGA optimized geometry; E_form (uncorrected) = -447 meV per atom; total energy = -130.77 eV per cell
1.0
3.930 0.000 0.000
0.000 8.168 0.000
0.000 0.000 19.291
Dy Te Fe
16 4 4
direct
0.250 0.640 0.143 Dy
0.750 0.509 0.567 Dy
0.750 0.357 0.046 Dy
0.250 0.143 0.546 Dy
0.250 0.991 0.067 Dy
0.250 0.140 0.357 Dy
0.250 0.491 0.433 Dy
0.750 0.956 0.215 Dy
0.750 0.456 0.285 Dy
0.250 0.544 0.715 Dy
0.750 0.009 0.933 Dy
0.750 0.860 0.643 Dy
0.750 0.360 0.857 Dy
0.250 0.643 0.954 Dy
0.750 0.857 0.454 Dy
0.250 0.044 0.785 Dy
0.250 0.257 0.189 Te
0.750 0.743 0.811 Te
0.750 0.243 0.689 Te
0.250 0.757 0.311 Te
0.250 0.755 0.551 Fe
0.250 0.255 0.949 Fe
0.750 0.245 0.449 Fe
0.750 0.745 0.051 Fe

---

No. 9
Pm3Ho4 PBE-GGA optimized geometry; energy of formation from the pure elements = 18.8 meV/atom; total energy = -32.43 eV per cell
1.0
5.059 0.000 0.000
-2.529 5.655 0.168
0.000 0.897 7.949
Ho Pm
4 3
direct
0.428 0.856 0.710 Ho
0.572 0.144 0.290 Ho
0.858 0.715 0.429 Ho
0.142 0.285 0.571 Ho
0.286 0.573 0.145 Pm
0.000 0.000 0.000 Pm
0.714 0.427 0.855 Pm

---

No. 10
NpTcSb PBE-GGA optimized geometry; E_form (uncorrected) = 72 meV per atom; total energy = -27.21 eV per cell; energy above the lowest structure with this stoichiometry = 3.23 kcal/mol of atoms
1.0
3.402 0.000 0.000
0.000 4.645 0.000
0.000 -2.323 4.023
Np Tc Sb
1 1 1
direct
0.667 0.667 0.333 Np
0.166 0.333 0.667 Tc
0.167 0.000 0.000 Sb

---

No. 11
TaNbB2 PBE-GGA optimized geometry; energy of formation from the pure elements = 216.9 meV/atom; total energy = -34.41 eV per cell; energy above the lowest structure with this stoichiometry = 23.58 kcal/mol of atoms
1.0
1.306 -3.837 -0.512
-2.305 -3.128 1.262
-1.820 -2.429 -2.734
B Nb Ta
2 1 1
direct
0.250 0.250 0.250 B
0.750 0.750 0.750 B
0.000 0.000 0.000 Nb
0.500 0.500 0.500 Ta

---

No. 12
LaPmOs PBE-GGA optimized geometry; energy of formation from the pure elements = -9.3 meV/atom; total energy = -20.94 eV per cell; energy above the lowest structure with this stoichiometry = 2.10 kcal/mol of atoms
1.0
-1.544 5.871 -1.411
-1.282 -1.257 -3.827
-2.728 0.059 3.229
Os Pm La
1 1 1
direct
0.002 0.000 0.000 Os
0.768 0.667 0.333 Pm
0.230 0.333 0.667 La